Entry one
Compound: CuTcRu2
Source: the Alexandria database
Functional: PBE
Structure: relaxed

The structure belongs to space group Fm-3m (No. 225); the cell edges are 6.052, 6.052 and 6.052 Å and the angles 90.00°, 90.00° and 90.00°. The asymmetric unit holds Cu at (0.000, 0.000, 0.000), Tc at (0.000, 0.000, 0.500) and Ru at (0.250, 0.250, 0.250).

The value obtained for the volume is 221.7 Å³/cell.

Entry two
Compound: CuTcRu2
Source: the Alexandria database
Functional: PBE
Structure: relaxed

The structure belongs to space group R3m (No. 160, hexagonal axes); the cell edges are 2.7114, 2.7114 and 26.1754 Å and the angles 90.00°, 90.00° and 120.00°. The asymmetric unit holds Cu at (0.0000, 0.0000, 0.0000), Tc at (0.0000, 0.0000, 0.2484), Ru at (0.0000, 0.0000, 0.4998) and Ru at (0.0000, 0.0000, 0.7503).

The value obtained for the volume is 166.7 Å³/cell.

Entry three
Compound: CuTcRu2
Source: the Alexandria database
Functional: PBE
Structure: relaxed

The structure belongs to space group R-3m (No. 166, hexagonal axes); the cell edges are 2.7087, 2.7087 and 26.2029 Å and the angles 90.00°, 90.00° and 120.00°. The asymmetric unit holds Cu at (0.0000, 0.0000, 0.0000), Tc at (0.0000, 0.0000, 0.5000) and Ru at (0.0000, 0.0000, 0.2491).

The value obtained for the volume is 166.5 Å³/cell.

Entry four
Compound: CuTcRu2
Source: the Alexandria database
Functional: PBE
Structure: relaxed

The structure belongs to space group Cmm2 (No. 35); the cell edges are 2.782, 4.482 and 9.059 Å and the angles 90.00°, 90.00° and 90.00°. The asymmetric unit holds Cu at (0.000, 0.000, 0.000), Tc at (0.000, 0.500, 0.749), Ru at (0.000, 0.000, 0.500) and Ru at (0.000, 0.500, 0.248).

The value obtained for the volume is 113.0 Å³/cell.

entry three (6.0 kJ/mol of atoms below the next structure)

Entry one
Compound: CuTcRu2
Source: the Alexandria database
Functional: PBE
Structure: relaxed

The structure belongs to space group Pmmm (No. 47); the cell edges are 2.764, 4.449 and 4.537 Å and the angles 90.00°, 90.00° and 90.00°. The asymmetric unit holds Cu at (0.000, 0.000, 0.000), Tc at (0.500, 0.000, 0.500), Ru at (0.000, 0.500, 0.500) and Ru at (0.500, 0.500, 0.000).

The value obtained for the volume is 55.8 Å³/cell.

Entry two
Compound: CuTcRu2
Source: the Alexandria database
Functional: PBE
Structure: relaxed

The structure belongs to space group F-43m (No. 216); the cell edges are 6.067, 6.067 and 6.067 Å and the angles 90.00°, 90.00° and 90.00°. The asymmetric unit holds Cu at (0.000, 0.000, 0.000), Tc at (0.250, 0.250, 0.750), Ru at (0.000, 0.000, 0.500) and Ru at (0.250, 0.250, 0.250).

The value obtained for the volume is 223.3 Å³/cell.

entry one (1.2 kJ/mol of atoms below the next structure)